# NaLuHgGe

An optimized crystal structure of NaLuHgGe (PBE, Alexandria).

Cell and atoms, written as POSCAR:
```
NaLuHgGe
1.0
5.0465 0.0000 0.0000
2.5232 4.3704 0.0000
2.5232 1.4568 4.1204
Na Ge Lu Hg
1 1 1 1
Direct
0.5000 0.5000 0.5000
0.2500 0.2500 0.2500
0.0000 0.0000 0.0000
0.7500 0.7500 0.7500
```

Computed properties:
DFT total energy = -12.2 eV per cell
density of states at the Fermi level = 0.343 states/eV/atom
SG = F-43m, No. 216



# PmLuHgGe

An optimized crystal structure of PmLuHgGe (PBE, Alexandria).

Cell and atoms, written as POSCAR:
```
PmLuHgGe
1.0
-2.4488 0.3206 -4.5408
-0.0682 -4.0649 -3.1923
-4.3923 -2.6175 -0.7581
Ge Lu Hg Pm
1 1 1 1
Direct
0.0000 0.0000 0.0000
0.2500 0.2500 0.2500
0.5000 0.5000 0.5000
0.7500 0.7500 0.7500
```

Computed properties:
DFT total energy = -16.3 eV per cell
density of states at the Fermi level = 0.807 states/eV/atom
SG = F-43m, No. 216



# LuPuHgGe

An optimized crystal structure of LuPuHgGe (PBE, Alexandria).

Cell and atoms, written as POSCAR:
```
LuPuHgGe
1.0
-4.7632 1.8358 0.5564
-2.3424 -0.2785 4.5611
-0.8027 4.2687 2.7389
Ge Lu Hg Pu
1 1 1 1
Direct
0.7500 0.7500 0.7500
0.5000 0.5000 0.5000
0.2500 0.2500 0.2500
0.0000 0.0000 0.0000
```

Computed properties:
DFT total energy = -25.2 eV per cell
density of states at the Fermi level = 2.449 states/eV/atom
SG = F-43m, No. 216



# LuScHgGe

An optimized crystal structure of LuScHgGe (PBE, Alexandria).

Cell and atoms, written as POSCAR:
```
LuScHgGe
1.0
4.9721 0.0000 0.0000
2.4860 4.3059 0.0000
2.4860 1.4353 4.0597
Sc Ge Lu Hg
1 1 1 1
Direct
0.0000 0.0000 0.0000
0.2500 0.2500 0.2500
0.5000 0.5000 0.5000
0.7500 0.7500 0.7500
```

Computed properties:
DFT total energy = -17.7 eV per cell
density of states at the Fermi level = 0.865 states/eV/atom
SG = F-43m, No. 216